[1]
VASP calculation (PBE-GGA) on Nd2EuAu after structural relaxation.

Magnetization in μB/f.u.: 7.3
DFT total energy in eV per cell: -72.1
Energy relative to the elements in eV per atom: -0.24
Energy above the lowest structure with this stoichiometry in meV per atom: 92.0
Theoretical density in kg/m³: 7707

a = 3.9008 Å, b = 3.9008 Å, c = 31.2672 Å
α = 90.00°, β = 90.00°, γ = 120.00°
Space group R-3m (No. 166, hexagonal axes)
One atom of each set of equivalent atoms:
Nd 0.0000 0.0000 0.2323 [6 per cell]
Eu 0.0000 0.0000 0.0000 [3 per cell]
Au 0.0000 0.0000 0.5000 [3 per cell]

=====

[2]
VASP calculation (PBE-GGA) on NdEuAu after structural relaxation.

Magnetization in μB/f.u.: 7.3
DFT total energy in eV per cell: -19.4
Energy relative to the elements in eV per atom: -0.36
Energy above the lowest structure with this stoichiometry in meV per atom: 135.6
Theoretical density in kg/m³: 9164

a = 5.0207 Å, b = 5.0207 Å, c = 4.0935 Å
α = 90.00°, β = 90.00°, γ = 120.00°
Space group P3m1 (No. 156)
One atom of each set of equivalent atoms:
Nd 0.0000 0.0000 0.0000 [1 per cell]
Eu 0.3333 0.6667 0.5460 [1 per cell]
Au 0.6667 0.3333 0.2323 [1 per cell]

=====

[3]
VASP calculation (PBE-GGA) on Nd2EuAu after structural relaxation.

Magnetization in μB/f.u.: 8.8
DFT total energy in eV per cell: -24.4
Energy relative to the elements in eV per atom: -0.33
Energy above the lowest structure with this stoichiometry in meV per atom: 0.0
Theoretical density in kg/m³: 8258

a = 3.7608 Å, b = 3.7608 Å, c = 9.0626 Å
α = 90.00°, β = 90.00°, γ = 90.00°
Space group P4/mmm (No. 123)
One atom of each set of equivalent atoms:
Nd 0.0000 0.0000 0.1950 [2 per cell]
Eu 0.5000 0.5000 0.5000 [1 per cell]
Au 0.5000 0.5000 0.0000 [1 per cell]

=====

[4]
VASP calculation (PBE-GGA) on NdEuNiAu after structural relaxation.

Magnetization in μB/f.u.: 7.1
DFT total energy in eV per cell: -103.1
Energy relative to the elements in eV per atom: -0.42
Theoretical density in kg/m³: 9621

a = 7.2494 Å, b = 7.2494 Å, c = 7.2494 Å
α = 90.00°, β = 90.00°, γ = 90.00°
Space group F-43m (No. 216)
One atom of each set of equivalent atoms:
Nd 0.0000 0.0000 0.0000 [4 per cell]
Eu 0.0000 0.0000 0.5000 [4 per cell]
Ni 0.2500 0.2500 0.2500 [4 per cell]
Au 0.2500 0.2500 0.7500 [4 per cell]

=====

[5]
VASP calculation (PBE-GGA) on NdEuRuAu after structural relaxation.

Magnetization in μB/f.u.: 6.7
DFT total energy in eV per cell: -115.2
Energy relative to the elements in eV per atom: -0.30
Theoretical density in kg/m³: 10515

a = 7.2137 Å, b = 7.2137 Å, c = 7.2137 Å
α = 90.00°, β = 90.00°, γ = 90.00°
Space group F-43m (No. 216)
One atom of each set of equivalent atoms:
Nd 0.0000 0.0000 0.0000 [4 per cell]
Eu 0.0000 0.0000 0.5000 [4 per cell]
Ru 0.2500 0.2500 0.7500 [4 per cell]
Au 0.2500 0.2500 0.2500 [4 per cell]

=====

[6]
VASP calculation (PBE-GGA) on NdEuSnAu after structural relaxation.

Magnetization in μB/f.u.: 7.2
DFT total energy in eV per cell: -101.0
Energy relative to the elements in eV per atom: -0.73
Theoretical density in kg/m³: 9049

a = 7.6583 Å, b = 7.6583 Å, c = 7.6583 Å
α = 90.00°, β = 90.00°, γ = 90.00°
Space group F-43m (No. 216)
One atom of each set of equivalent atoms:
Nd 0.0000 0.0000 0.0000 [4 per cell]
Eu 0.0000 0.0000 0.5000 [4 per cell]
Sn 0.2500 0.2500 0.2500 [4 per cell]
Au 0.2500 0.2500 0.7500 [4 per cell]

=====

[7]
VASP calculation (PBE-GGA) on NdEuTlAu after structural relaxation.

Magnetization in μB/f.u.: 6.9
DFT total energy in eV per cell: -91.4
Energy relative to the elements in eV per atom: -0.54
Theoretical density in kg/m³: 10277

a = 7.6679 Å, b = 7.6679 Å, c = 7.6679 Å
α = 90.00°, β = 90.00°, γ = 90.00°
Space group F-43m (No. 216)
One atom of each set of equivalent atoms:
Nd 0.0000 0.0000 0.0000 [4 per cell]
Eu 0.0000 0.0000 0.5000 [4 per cell]
Tl 0.2500 0.2500 0.2500 [4 per cell]
Au 0.2500 0.2500 0.7500 [4 per cell]

=====

[8]
VASP calculation (PBE-GGA) on EuNiAu after structural relaxation.

Magnetization in μB/f.u.: 6.8
DFT total energy in eV per cell: -20.5
Energy relative to the elements in eV per atom: -0.40
Theoretical density in kg/m³: 10211

a = 4.3846 Å, b = 4.3846 Å, c = 3.9815 Å
α = 90.00°, β = 90.00°, γ = 120.00°
Space group P-6m2 (No. 187)
One atom of each set of equivalent atoms:
Eu 0.0000 0.0000 0.0000 [1 per cell]
Ni 0.3333 0.6667 0.5000 [1 per cell]
Au 0.6667 0.3333 0.5000 [1 per cell]

=====

> theoretical density of number 6 (NdEuSnAu)?

9049 kg/m³

=====

> The lowest DFT total energy belongs to which entry?

NdEuRuAu

=====

> Which formula does entry 6 have?

NdEuSnAu